No. 1
A relaxed structure of TbPrAg2Bi4. Source: OQMD via LeMat-Bulk, functional PBE.

abc: 4.577 4.577 10.440
angles: 90.00 90.00 90.00
Sites, in units of the cell vectors:
Ag (0.500, 0.000, 0.005)
Ag (0.000, 0.500, 0.005)
Bi (0.000, 0.000, 0.190)
Bi (0.500, 0.000, 0.494)
Bi (0.000, 0.500, 0.494)
Bi (0.500, 0.500, 0.817)
Pr (0.000, 0.000, 0.746)
Tb (0.500, 0.500, 0.249)

Calculated values
The size of the total moment is 0.0 μB/f.u.


No. 2
A relaxed structure of Sr2AgPd. Source: OQMD via LeMat-Bulk, functional PBE.

abc: 5.222 5.222 5.222
angles: 60.00 60.00 60.00
Sites, in units of the cell vectors:
Ag (0.500, 0.500, 0.500)
Pd (0.750, 0.750, 0.750)
Sr (0.000, 0.000, 0.000)
Sr (0.250, 0.250, 0.250)


No. 3
A relaxed structure of BeCu5B2. Source: OQMD via LeMat-Bulk, functional PBE.

abc: 3.673 3.673 5.808
angles: 90.00 90.00 90.00
Sites, in units of the cell vectors:
B (0.000, 0.000, 0.000)
B (0.500, 0.500, 0.500)
Be (0.500, 0.500, 0.000)
Cu (0.500, 0.000, 0.227)
Cu (0.000, 0.500, 0.227)
Cu (0.000, 0.000, 0.500)
Cu (0.500, 0.000, 0.773)
Cu (0.000, 0.500, 0.773)


No. 4
A relaxed structure of CdH2. Source: OQMD via LeMat-Bulk, functional PBE.

abc: 4.402 4.402 4.402
angles: 60.00 60.00 60.00
Sites, in units of the cell vectors:
Cd (0.000, 0.000, 0.000)
Cd (0.250, 0.250, 0.250)
H (0.625, 0.625, 0.125)
H (0.625, 0.125, 0.625)
H (0.125, 0.625, 0.625)
H (0.625, 0.625, 0.625)


How do the records compare in final energy? In the order shown, they have -35.282, -11.899, -32.926, -9.168 eV/cell.
How do the records compare in calculated volume? In the order shown, they have 27.34, 25.17, 9.79, 10.05 Å³/atom.